A relaxed RbCuAgAs crystal, computed with PBE.

Properties
**Total magnetic moment**: 0.00 μB/atom
**Symmetry**: Imm2, No. 44
**Formation energy from the elements**: -0.08 eV per atom
**Energy**: -12.87 eV for the cell shown

a = 4.473 Å, b = 4.853 Å, c = 6.603 Å
α = 111.56°, β = 109.80°, γ = 90.00°
Fractional coordinates of all 4 atoms:
1 Rb 0.968 0.968 0.935
2 Cu 0.663 0.663 0.326
3 Ag 0.274 0.274 0.547
4 As 0.211 0.711 0.423